# 1
A plane-wave DFT calculation with PBE-GGA was carried out for a relaxed BaPRh crystal.

Properties
Total magnetization in μB per atom: 0.000
D(E_F) in states/eV/cell: 1.5
Total DFT energy (no corrections) in eV/atom: -5.32

Cell lengths 6.183, 6.183, 6.183 Å; angles 148.07, 148.07, 45.78 degrees
Positions (direct):
Rh 0.280 0.280 0.000
P 0.719 0.719 0.000
Ba 0.002 0.002 0.000


# 2
A plane-wave DFT calculation with PBE-GGA was carried out for a relaxed Cs6HgAu2I3 crystal.

Properties
Total magnetization in μB per atom: 0.081
D(E_F) in states/eV/cell: 6.0
Raw formation energy in eV/atom: -0.8655

Cell lengths 9.430, 9.430, 9.486 Å; angles 99.44, 99.44, 119.91 degrees
Site moments in Bohr magnetons follow the coordinates.
Positions (direct):
Cs 0.918 0.561 0.754  0.01
Cs 0.561 0.918 0.754  0.01
Cs 0.725 0.725 0.237  0.01
Cs 0.439 0.082 0.246  0.01
Cs 0.082 0.439 0.246  0.01
Cs 0.275 0.275 0.763  0.01
Au 0.669 0.331 0.000  0.01
Au 0.331 0.669 0.000  0.01
I 0.500 0.500 0.500  0.00
I 0.843 0.157 0.500  0.00
I 0.157 0.843 0.500  0.00
Hg 0.000 0.000 0.000  0.07


# 3
A plane-wave DFT calculation with PBE-GGA was carried out for a relaxed AsSCl3 crystal.

Properties
Total magnetization in μB per atom: 0.411
D(E_F) in states/eV/cell: 7.4
Raw formation energy in eV/atom: 0.2252

Cell lengths 5.023, 5.023, 5.023 Å; angles 90.00, 90.00, 90.00 degrees
Site moments in Bohr magnetons follow the coordinates.
Positions (direct):
Cl 0.500 0.000 0.000  0.06
Cl 0.000 0.000 0.500  0.08
Cl 0.000 0.500 0.000  0.04
As 0.000 0.000 0.000  -0.06
S 0.500 0.500 0.500  1.18


# 4
A plane-wave DFT calculation with PBE-GGA was carried out for a relaxed Pm3Dy5Y crystal.

Properties
Total magnetization in μB per atom: 0.000
D(E_F) in states/eV/cell: 26.6
Total DFT energy (no corrections) in eV/atom: -4.70

Cell lengths 6.737, 8.900, 11.444 Å; angles 107.92, 90.00, 112.24 degrees
Positions (direct):
Dy 0.945 0.648 0.628
Dy 0.318 0.000 0.750
Dy 0.396 0.785 0.455
Dy 0.055 0.352 0.372
Dy 0.389 0.785 0.955
Dy 0.297 0.352 0.872
Dy 0.604 0.215 0.545
Dy 0.703 0.648 0.128
Dy 0.611 0.215 0.045
Dy 0.682 0.000 0.250
Pm 0.138 0.524 0.144
Pm 0.862 0.476 0.856
Pm 0.000 0.000 0.500
Pm 0.614 0.476 0.356
Pm 0.386 0.524 0.644
Pm 0.000 0.000 0.000
Y 0.772 0.000 0.750
Y 0.228 0.000 0.250